Record 1
Below is a geometry-optimized SO structure, with properties calculated at the PBE level.

CIF file:
```
data_SO
_space_group_name_H-M_alt 'P m m n'
_space_group_IT_number 59
_cell_length_a 2.750
_cell_length_b 10.032
_cell_length_c 8.732
_cell_angle_alpha 90.00
_cell_angle_beta 90.00
_cell_angle_gamma 90.00
loop_
_space_group_symop_operation_xyz
'x,y,z'
'-x,-y,-z'
'-x+1/2,-y+1/2,z'
'x+1/2,y+1/2,-z'
'x+1/2,-y,-z'
'-x+1/2,y,z'
'-x,y+1/2,-z'
'x,-y+1/2,z'
loop_
_atom_site_label
_atom_site_type_symbol
_atom_site_fract_x
_atom_site_fract_y
_atom_site_fract_z
S1 S 0.250 0.114 0.220
S2 S 0.250 0.750 0.279
O1 O 0.250 0.250 0.107
O2 O 0.250 0.626 0.366
```

Calculated values
ΔE to the lowest computed polymorph = 0.272 eV/atom
E_form (uncorrected) = -0.29 eV/atom

---

Record 2
Below is a geometry-optimized CaTcPt2 structure, with properties calculated at the PBE level.

CIF file:
```
data_CaTcPt2
_space_group_name_H-M_alt 'C 1 2/m 1'
_space_group_IT_number 12
_cell_length_a 8.612
_cell_length_b 2.793
_cell_length_c 6.328
_cell_angle_alpha 90.00
_cell_angle_beta 97.64
_cell_angle_gamma 90.00
loop_
_space_group_symop_operation_xyz
'x,y,z'
'-x,-y,-z'
'-x,y,-z'
'x,-y,z'
'x+1/2,y+1/2,z'
'-x+1/2,-y+1/2,-z'
'-x+1/2,y+1/2,-z'
'x+1/2,-y+1/2,z'
loop_
_atom_site_label
_atom_site_type_symbol
_atom_site_fract_x
_atom_site_fract_y
_atom_site_fract_z
Ca1 Ca 0.000 0.000 0.000
Tc1 Tc 0.000 0.500 0.500
Pt1 Pt 0.249 0.500 0.306
```

Calculated values
ΔE to the lowest computed polymorph = 0.258 eV/atom
E_form = -0.03 eV/atom

---

Record 3
Below is a geometry-optimized NdTmHgIr structure, with properties calculated at the PBE level.

CIF file:
```
data_NdTmHgIr
_space_group_name_H-M_alt 'F -4 3 m'
_space_group_IT_number 216
_space_group_name_Hall 'F -4 2 3'
_cell_length_a 7.203
_cell_length_b 7.203
_cell_length_c 7.203
_cell_angle_alpha 90.00
_cell_angle_beta 90.00
_cell_angle_gamma 90.00
loop_
_atom_site_label
_atom_site_type_symbol
_atom_site_fract_x
_atom_site_fract_y
_atom_site_fract_z
Nd1 Nd 0.000 0.000 0.000
Tm1 Tm 0.000 0.000 0.500
Hg1 Hg 0.250 0.250 0.750
Ir1 Ir 0.250 0.250 0.250
```

Calculated values
E_form = -0.56 eV/atom

---

Record 4
Below is a geometry-optimized ScBe2Cr structure, with properties calculated at the PBE level.

CIF file:
```
data_ScBe2Cr
_space_group_name_H-M_alt 'P 4 m m'
_space_group_IT_number 99
_cell_length_a 2.669
_cell_length_b 2.669
_cell_length_c 6.896
_cell_angle_alpha 90.00
_cell_angle_beta 90.00
_cell_angle_gamma 90.00
loop_
_space_group_symop_operation_xyz
'x,y,z'
'-y,x,z'
'-x,-y,z'
'y,-x,z'
'-x,y,z'
'y,x,z'
'x,-y,z'
'-y,-x,z'
loop_
_atom_site_label
_atom_site_type_symbol
_atom_site_fract_x
_atom_site_fract_y
_atom_site_fract_z
Sc1 Sc 0.000 0.000 0.000
Be1 Be 0.000 0.000 0.458
Be2 Be 0.500 0.500 0.297
Cr1 Cr 0.500 0.500 0.682
```

Calculated values
ΔE to the lowest computed polymorph = 0.181 eV/atom
E_form = 0.22 eV/atom

---

Record 5
Below is a geometry-optimized NaTlHgPb2 structure, with properties calculated at the PBE level.

CIF file:
```
data_NaTlHgPb2
_space_group_name_H-M_alt 'P 4/m m m'
_space_group_IT_number 123
_space_group_name_Hall '-P 4 2'
_cell_length_a 5.778
_cell_length_b 5.778
_cell_length_c 5.549
_cell_angle_alpha 90.00
_cell_angle_beta 90.00
_cell_angle_gamma 90.00
loop_
_atom_site_label
_atom_site_type_symbol
_atom_site_fract_x
_atom_site_fract_y
_atom_site_fract_z
Na1 Na 0.000 0.000 0.000
Tl1 Tl 0.500 0.500 0.000
Hg1 Hg 0.000 0.000 0.500
Pb1 Pb 0.000 0.500 0.500
```

Calculated values
E_form = 0.20 eV/atom

---

Record 6
Below is a geometry-optimized SrAgIN2 structure, with properties calculated at the PBE level.

CIF file:
```
data_SrAgIN2
_space_group_name_H-M_alt 'P 4/m m m'
_space_group_IT_number 123
_space_group_name_Hall '-P 4 2'
_cell_length_a 4.885
_cell_length_b 4.885
_cell_length_c 6.776
_cell_angle_alpha 90.00
_cell_angle_beta 90.00
_cell_angle_gamma 90.00
loop_
_atom_site_label
_atom_site_type_symbol
_atom_site_fract_x
_atom_site_fract_y
_atom_site_fract_z
Sr1 Sr 0.000 0.000 0.000
Ag1 Ag 0.500 0.500 0.500
I1 I 0.000 0.000 0.500
N1 N 0.000 0.500 0.000
```

Calculated values
ΔE to the lowest computed polymorph = 0.185 eV/atom
E_form (uncorrected) = 1.19 eV/atom

---

Record 7
Below is a geometry-optimized DyYCoNi structure, with properties calculated at the PBE level.

CIF file:
```
data_DyYCoNi
_space_group_name_H-M_alt 'A m m 2'
_space_group_IT_number 38
_cell_length_a 3.948
_cell_length_b 3.859
_cell_length_c 10.475
_cell_angle_alpha 90.00
_cell_angle_beta 90.00
_cell_angle_gamma 90.00
loop_
_space_group_symop_operation_xyz
'x,y,z'
'-x,-y,z'
'-x,y,z'
'x,-y,z'
'x,y+1/2,z+1/2'
'-x,-y+1/2,z+1/2'
'-x,y+1/2,z+1/2'
'x,-y+1/2,z+1/2'
loop_
_atom_site_label
_atom_site_type_symbol
_atom_site_fract_x
_atom_site_fract_y
_atom_site_fract_z
Dy1 Dy 0.000 0.000 0.000
Y1 Y 0.500 0.000 0.284
Co1 Co 0.000 0.000 0.709
Ni1 Ni 0.500 0.000 0.574
```

Calculated values
ΔE to the lowest computed polymorph = 0.000 eV/atom
E_form = -0.31 eV/atom

---

Record 8
Below is a geometry-optimized Sc3Ge2Ru structure, with properties calculated at the PBE level.

CIF file:
```
data_Sc3Ge2Ru
_space_group_name_H-M_alt 'P n m a'
_space_group_IT_number 62
_cell_length_a 11.055
_cell_length_b 4.230
_cell_length_c 9.785
_cell_angle_alpha 90.00
_cell_angle_beta 90.00
_cell_angle_gamma 90.00
loop_
_space_group_symop_operation_xyz
'x,y,z'
'-x,-y,-z'
'-x+1/2,-y,z+1/2'
'x+1/2,y,-z+1/2'
'x+1/2,-y+1/2,-z+1/2'
'-x+1/2,y+1/2,z+1/2'
'-x,y+1/2,-z'
'x,-y+1/2,z'
loop_
_atom_site_label
_atom_site_type_symbol
_atom_site_fract_x
_atom_site_fract_y
_atom_site_fract_z
Sc1 Sc 0.047 0.250 0.139
Sc2 Sc 0.152 0.750 0.586
Sc3 Sc 0.237 0.250 0.808
Ge1 Ge 0.001 0.250 0.659
Ge2 Ge 0.174 0.750 0.013
Ru1 Ru 0.123 0.250 0.394
```

Calculated values
E_form = -0.72 eV/atom

---

Record 9
Below is a geometry-optimized Tb2GdSn structure, with properties calculated at the PBE level.

CIF file:
```
data_Tb2GdSn
_space_group_name_H-M_alt 'P 4/m m m'
_space_group_IT_number 123
_space_group_name_Hall '-P 4 2'
_cell_length_a 4.852
_cell_length_b 4.852
_cell_length_c 4.793
_cell_angle_alpha 90.00
_cell_angle_beta 90.00
_cell_angle_gamma 90.00
loop_
_atom_site_label
_atom_site_type_symbol
_atom_site_fract_x
_atom_site_fract_y
_atom_site_fract_z
Tb1 Tb 0.000 0.500 0.000
Gd1 Gd 0.000 0.000 0.500
Sn1 Sn 0.500 0.500 0.500
```

Calculated values
ΔE to the lowest computed polymorph = 0.000 eV/atom
E_form = -0.44 eV/atom

---

Record 10
Below is a geometry-optimized Pu3ThU2N6 structure, with properties calculated at the PBE level.

CIF file:
```
data_Pu3ThU2N6
_space_group_name_H-M_alt 'C 1 2/m 1'
_space_group_IT_number 12
_cell_length_a 6.085
_cell_length_b 10.528
_cell_length_c 6.032
_cell_angle_alpha 90.00
_cell_angle_beta 109.60
_cell_angle_gamma 90.00
loop_
_space_group_symop_operation_xyz
'x,y,z'
'-x,-y,-z'
'-x,y,-z'
'x,-y,z'
'x+1/2,y+1/2,z'
'-x+1/2,-y+1/2,-z'
'-x+1/2,y+1/2,-z'
'x+1/2,-y+1/2,z'
loop_
_atom_site_label
_atom_site_type_symbol
_atom_site_fract_x
_atom_site_fract_y
_atom_site_fract_z
Pu1 Pu 0.000 0.000 0.000
Pu2 Pu 0.000 0.336 0.000
Th1 Th 0.000 0.500 0.500
U1 U 0.000 0.167 0.500
N1 N 0.224 0.000 0.735
N2 N 0.243 0.176 0.259
```

Calculated values
E_form (uncorrected) = -1.33 eV/atom

---

Record 11
Below is a geometry-optimized FeBi2Pd structure, with properties calculated at the PBE level.

CIF file:
```
data_FeBi2Pd
_space_group_name_H-M_alt 'I -4 2 d'
_space_group_IT_number 122
_space_group_name_Hall 'I -4 2bw'
_cell_length_a 6.384
_cell_length_b 6.384
_cell_length_c 10.654
_cell_angle_alpha 90.00
_cell_angle_beta 90.00
_cell_angle_gamma 90.00
loop_
_atom_site_label
_atom_site_type_symbol
_atom_site_fract_x
_atom_site_fract_y
_atom_site_fract_z
Fe1 Fe 0.000 0.000 0.000
Bi1 Bi 0.225 0.250 0.125
Pd1 Pd 0.000 0.000 0.500
```

Calculated values
ΔE to the lowest computed polymorph = 0.168 eV/atom
E_form = 0.56 eV/atom

---

Record 12
Below is a geometry-optimized PrY2As structure, with properties calculated at the PBE level.

CIF file:
```
data_PrY2As
_space_group_name_H-M_alt 'R -3 m'
_space_group_IT_number 166
_space_group_name_Hall '-R 3 2"'
_cell_length_a 3.8882
_cell_length_b 3.8882
_cell_length_c 28.5564
_cell_angle_alpha 90.00
_cell_angle_beta 90.00
_cell_angle_gamma 120.00
loop_
_atom_site_label
_atom_site_type_symbol
_atom_site_fract_x
_atom_site_fract_y
_atom_site_fract_z
Pr1 Pr 0.0000 0.0000 0.0000
Y1 Y 0.0000 0.0000 0.2269
As1 As 0.0000 0.0000 0.5000
```

Calculated values
ΔE to the lowest computed polymorph = 0.008 eV/atom
E_form = -0.65 eV/atom

---

In order of appearance, D(E_F) = 4.6; 8.5; 10.6; 2.1; 2.6; 1.7; 6.2; 18.5; 4.7; 36.6; 26.2; 10.8 states/eV per cell.
In order of appearance, total DFT energy (no corrections) = -4.833; -6.147; -5.159; -5.627; -2.077; -3.358; -6.295; -6.967; -7.275; -11.571; -4.793; -6.241 eV/atom.
In order of appearance, size of the total moment = 0.0; 0.0; 0.0; 0.0; 0.0; 4.1; 0.0; 0.0; 7.6; 16.4; 0.0; 0.0 μB per formula unit.